Material: SmDyCu2S4
Method: DFT, GGA-PBE
State: optimized geometry

a = 6.0001 Å, b = 6.0001 Å, c = 6.0001 Å
α = 114.22°, β = 113.28°, γ = 101.22°
Fractional positions:
Sm1 0.0000 0.0000 0.0000
Dy1 0.5000 0.5000 0.0000
Cu1 0.3307 0.8307 0.5000
Cu2 0.6693 0.1693 0.5000
S1 0.0749 0.0561 0.5173
S2 0.4612 0.9439 0.0188
S3 0.5388 0.5576 0.4827
S4 0.9251 0.4424 0.9812

Output
Raw formation energy (eV/atom): -1.20
Uncorrected energy (eV/cell): -43.6
SG: No. 23
Spin magnetization (μB/atom): 0.00

Material: TbErRh2
Method: DFT, GGA-PBE
State: optimized geometry

a = 4.8321 Å, b = 4.8321 Å, c = 4.8321 Å
α = 60.00°, β = 60.00°, γ = 60.00°
Fractional positions:
Tb1 0.0000 0.0000 0.0000
Er1 0.5000 0.5000 0.5000
Rh1 0.2500 0.2500 0.2500
Rh2 0.7500 0.7500 0.7500

Output
Excess energy over the best structure of this formula in the dataset (meV per atom): 0.0
Uncorrected energy (eV/cell): -27.5
SG: No. 225
Spin magnetization (μB/atom): 0.00

Material: BaH3Pd
Method: DFT, GGA-PBE
State: optimized geometry

a = 3.9869 Å, b = 3.9869 Å, c = 3.9869 Å
α = 90.00°, β = 90.00°, γ = 90.00°
Fractional positions:
Ba1 0.0000 0.0000 0.0000
H1 0.0000 0.5000 0.5000
H2 0.5000 0.0000 0.5000
H3 0.5000 0.5000 0.0000
Pd1 0.5000 0.5000 0.5000

Output
Uncorrected energy (eV/cell): -19.5
SG: No. 221
Spin magnetization (μB/atom): 0.00

Material: LaU3
Method: DFT, GGA-PBE
State: optimized geometry

a = 4.5507 Å, b = 4.5507 Å, c = 4.5507 Å
α = 90.00°, β = 90.00°, γ = 90.00°
Fractional positions:
La1 0.0000 0.0000 0.0000
U1 0.0000 0.5000 0.5000
U2 0.5000 0.0000 0.5000
U3 0.5000 0.5000 0.0000

Output
Uncorrected energy (eV/cell): -36.5
SG: No. 221
Spin magnetization (μB/atom): 1.14

Material: ZrTl2Tc
Method: DFT, GGA-PBE
State: optimized geometry

a = 5.6211 Å, b = 5.6211 Å, c = 3.1252 Å
α = 99.44°, β = 99.44°, γ = 115.97°
Fractional positions:
Zr1 0.0000 0.0000 0.0000
Tl1 0.0000 0.5000 0.5000
Tl2 0.5000 0.0000 0.5000
Tc1 0.5000 0.5000 0.0000

Output
Excess energy over the best structure of this formula in the dataset (meV per atom): 212.4
Uncorrected energy (eV/cell): -21.9
SG: No. 12
Spin magnetization (μB/atom): 0.16

Material: NdThPdPt
Method: DFT, GGA-PBE
State: optimized geometry

a = 4.4779 Å, b = 5.9943 Å, c = 5.9943 Å
α = 37.72°, β = 90.00°, γ = 90.00°
Fractional positions:
Nd1 0.0000 0.0000 0.0000
Th1 0.5000 0.7280 0.7280
Pd1 0.5000 0.4487 0.4487
Pt1 0.0000 0.2652 0.2652

Output
Excess energy over the best structure of this formula in the dataset (meV per atom): 0.0
Uncorrected energy (eV/cell): -27.5
SG: No. 38
Spin magnetization (μB/atom): 0.00

Material: NbCdH
Method: DFT, GGA-PBE
State: optimized geometry

a = 5.1026 Å, b = 3.1908 Å, c = 5.2855 Å
α = 90.00°, β = 90.04°, γ = 90.00°
Fractional positions:
Nb1 0.0000 0.0000 0.0000
Nb2 0.0046 0.5000 0.4558
Cd1 0.4813 0.0000 0.6340
Cd2 0.5049 0.5000 0.1404
H1 0.0632 0.5000 0.8160
H2 0.9026 0.0000 0.6376

Output
Excess energy over the best structure of this formula in the dataset (meV per atom): 37.4
Uncorrected energy (eV/cell): -28.5
SG: No. 6
Spin magnetization (μB/atom): 0.00

Material: ThAl4Cu2
Method: DFT, GGA-PBE
State: optimized geometry

a = 7.0742 Å, b = 7.0742 Å, c = 4.2748 Å
α = 90.00°, β = 90.00°, γ = 144.80°
Fractional positions:
Th1 0.0000 0.0000 0.0000
Al1 0.1814 0.8186 0.5000
Al2 0.3173 0.6827 0.0000
Al3 0.6827 0.3173 0.0000
Al4 0.8186 0.1814 0.5000
Cu1 0.4092 0.5908 0.5000
Cu2 0.5908 0.4092 0.5000

Output
Excess energy over the best structure of this formula in the dataset (meV per atom): 70.3
Uncorrected energy (eV/cell): -32.6
SG: No. 65
Spin magnetization (μB/atom): 0.00